Material: DyWClO4
Method: DFT, GGA+U
State: relaxed

a = 6.3581 Å, b = 6.3581 Å, c = 6.9723 Å
α = 104.46°, β = 104.46°, γ = 70.62°
Last column: nearest neighbours and their distance in Å.
Element x y z (fractional)
Dy 0.2222 0.2222 0.1161  4 O 2.30-2.31
Dy 0.7778 0.7778 0.8839  4 O 2.30-2.31
W 0.3629 0.3629 0.7331  4 O 1.79-1.83
W 0.6371 0.6371 0.2669  4 O 1.79-1.83
Cl 0.0104 0.0104 0.7690  2 Dy 2.73-2.77
Cl 0.9896 0.9896 0.2310  2 Dy 2.73-2.77
O 0.1064 0.4907 0.8438  1 W 1.83
O 0.2956 0.2956 0.4635  1 W 1.79
O 0.4544 0.4544 0.1934  1 W 1.81
O 0.4907 0.1064 0.8438  1 W 1.83
O 0.5093 0.8936 0.1562  1 W 1.83
O 0.5456 0.5456 0.8066  1 W 1.81
O 0.7044 0.7044 0.5365  1 W 1.79
O 0.8936 0.5093 0.1562  1 W 1.83

Results
The calculation puts the total energy at -7.2425 eV per atom.